Entry 1:
Material: Tb3HoPd
Method: DFT, PBE-GGA
State: optimized geometry

## Properties
crystal system: monoclinic
calculated volume: 30.3 A^3/atom
total magnetization: 0.00 μB per formula unit
ΔH_f (0 K): -0.260 eV/atom
space-group type: C2/m, No. 12

Unit cell a=7.1755 b=7.1755 c=7.5378 alpha=104.33 beta=114.80 gamma=107.42
Closest atoms and distances in Å follow each position.
Sites, in units of the cell vectors:
Pd 0.6452 0.7697 0.4149  5 Tb 2.78-3.09, 2 Ho 2.79-2.99
Tb 0.7262 0.4596 0.1858  1 Pd 2.83
Tb 0.2738 0.5404 0.8142  1 Pd 2.83
Pd 0.3548 0.2303 0.5851  5 Tb 2.78-3.09, 2 Ho 2.79-2.99
Ho 0.6995 0.0717 0.7712  2 Pd 2.79-2.99
Tb 0.1671 0.9904 0.7600  2 Pd 2.78-3.09
Tb 0.2304 0.4071 0.2400  2 Pd 2.78-3.09
Tb 0.8329 0.0096 0.2400  2 Pd 2.78-3.09
Tb 0.7696 0.5929 0.7600  2 Pd 2.78-3.09
Ho 0.3005 0.9283 0.2288  2 Pd 2.79-2.99

***

Entry 2:
Material: La3SmPa2N6
Method: DFT, PBE-GGA
State: optimized geometry

## Properties
crystal system: monoclinic
calculated volume: 16.9 A^3/atom
total magnetization: 0.00 μB per formula unit
ΔE_f (raw): -149.8 kJ per mole of atoms
space-group type: C2/m, No. 12

Unit cell a=6.2381 b=6.2381 c=6.3547 alpha=99.41 beta=99.41 gamma=120.01
Closest atoms and distances in Å follow each position.
Sites, in units of the cell vectors:
Pa 0.6668 0.3332 0.0000  6 N 2.38
N 0.0706 0.4248 0.2114  2 Pa 2.38, 1 Sm 2.55, 1 La 2.62
N 0.9294 0.5752 0.7886  2 Pa 2.38, 1 Sm 2.55, 1 La 2.62
Pa 0.3332 0.6668 0.0000  6 N 2.38
N 0.5752 0.9294 0.7886  2 Pa 2.38, 1 Sm 2.55, 1 La 2.62
La 0.8347 0.1653 0.5000  6 N 2.62-2.76
N 0.2847 0.2847 0.7912  2 Pa 2.38, 1 Sm 2.54, 1 La 2.62
La 0.5000 0.5000 0.5000  6 N 2.62-2.76
N 0.4248 0.0706 0.2114  2 Pa 2.38, 1 Sm 2.55, 1 La 2.62
La 0.1653 0.8347 0.5000  6 N 2.62-2.76
N 0.7153 0.7153 0.2088  2 Pa 2.38, 1 Sm 2.54, 1 La 2.62
Sm 0.0000 0.0000 0.0000  6 N 2.54-2.55

***

Entry 3:
Material: Ce2Ge3Pd2
Method: DFT, PBE-GGA
State: optimized geometry

## Properties
crystal system: orthorhombic
calculated volume: 20.2 A^3/atom
total magnetization: 1.22 μB per formula unit
ΔH_f (0 K): -0.813 eV/atom
space-group type: Cmcm, No. 63

Unit cell a=4.3278 b=7.0430 c=9.5360 alpha=90.00 beta=103.12 gamma=90.00
Closest atoms and distances in Å follow each position.
Sites, in units of the cell vectors:
Ge 0.4379 0.5666 0.8758  2 Ge 2.49-2.58, 1 Pd 2.58
Ce 0.9458 0.2500 0.8915  9 Ge 3.09-3.32
Pd 0.3059 0.4516 0.6119  4 Ge 2.58-2.63, 1 Pd 2.84
Ce 0.8437 0.7500 0.6873  6 Ge 3.07-3.15, 6 Pd 3.10-3.12
Ce 0.0542 0.7500 0.1085  9 Ge 3.09-3.32
Ge 0.5621 0.0666 0.1242  2 Ge 2.49-2.58, 1 Pd 2.58
Pd 0.6941 0.9516 0.3881  4 Ge 2.58-2.63, 1 Pd 2.84
Pd 0.6941 0.5484 0.3881  4 Ge 2.58-2.63, 1 Pd 2.84
Pd 0.3059 0.0483 0.6119  4 Ge 2.58-2.63, 1 Pd 2.84
Ce 0.1563 0.2500 0.3127  6 Ge 3.07-3.15, 6 Pd 3.10-3.12
Ge 0.7794 0.2500 0.5589  6 Pd 2.63
Ge 0.5621 0.4334 0.1242  2 Ge 2.49-2.58, 1 Pd 2.58
Ge 0.2206 0.7500 0.4411  6 Pd 2.63
Ge 0.4379 0.9334 0.8758  2 Ge 2.49-2.58, 1 Pd 2.58

***

Entry 4:
Material: KFe2SnI8
Method: DFT, PBE-GGA
State: optimized geometry

## Properties
crystal system: monoclinic
calculated volume: 45.9 A^3/atom
total magnetization: 9.00 μB per formula unit
ΔE_f (raw): -43.0 kJ per mole of atoms
space-group type: C2/m, No. 12

Unit cell a=7.5163 b=7.5163 c=10.4568 alpha=86.19 beta=86.19 gamma=69.42
Closest atoms and distances in Å follow each position.
Sites, in units of the cell vectors:
Sn 0.0000 0.0000 0.0000  6 I 3.18-3.22
I 0.2890 0.2890 0.5663  1 Fe 2.54
Fe 0.3796 0.3796 0.7757  4 I 2.54-2.63
K 0.0000 0.0000 0.5000  6 I 3.64-3.69
I 0.7419 0.7419 0.0122  1 Fe 2.58
I 0.7529 0.2682 0.7755  1 Fe 2.63
I 0.7318 0.2471 0.2245  1 Fe 2.63
I 0.7110 0.7110 0.4337  1 Fe 2.54
I 0.2682 0.7529 0.7755  1 Fe 2.63
I 0.2581 0.2581 0.9878  1 Fe 2.58
Fe 0.6204 0.6204 0.2243  4 I 2.54-2.63
I 0.2471 0.7318 0.2245  1 Fe 2.63

***

Entry 5:
Material: NpSiF6
Method: DFT, PBE-GGA
State: optimized geometry

## Properties
crystal system: monoclinic
calculated volume: 12.7 A^3/atom
total magnetization: 4.96 μB per formula unit
ΔE_f (raw): -282.2 kJ per mole of atoms
space-group type: C2/m, No. 12

Unit cell a=4.7346 b=4.7346 c=4.7255 alpha=98.61 beta=98.61 gamma=98.93
Closest atoms and distances in Å follow each position.
Sites, in units of the cell vectors:
F 0.7617 0.4276 0.7610  1 Si 1.72
F 0.2383 0.5724 0.2390  1 Si 1.72
F 0.7611 0.7611 0.4240  1 Si 1.73
F 0.2389 0.2389 0.5760  1 Si 1.73
F 0.4276 0.7617 0.7610  1 Si 1.72
Si 0.5000 0.5000 0.5000  6 F 1.72-1.73
F 0.5724 0.2383 0.2390  1 Si 1.72
Np 0.0000 0.0000 0.0000  12 F 2.74-2.78

***

Entry 6:
Material: AcPrSiGe
Method: DFT, PBE-GGA
State: optimized geometry

## Properties
crystal system: cubic
calculated volume: 27.4 A^3/atom
total magnetization: 0.00 μB per formula unit
ΔE_f (raw): -39.8 kJ per mole of atoms
space-group type: F-43m, No. 216

Unit cell a=5.3696 b=5.3696 c=5.3696 alpha=60.00 beta=60.00 gamma=60.00
Closest atoms and distances in Å follow each position.
Sites, in units of the cell vectors:
Pr 0.2500 0.2500 0.2500  4 Ge 3.29, 4 Si 3.29
Ge 0.0000 0.0000 0.0000  4 Ac 3.29, 4 Pr 3.29
Si 0.5000 0.5000 0.5000  4 Pr 3.29, 4 Ac 3.29
Ac 0.7500 0.7500 0.7500  4 Ge 3.29, 4 Si 3.29